Entry 1:
# Rb2PmBiSe4

An optimized crystal structure of Rb2PmBiSe4 (PBE-GGA, Alexandria).

Cell: 4.3531 7.5536 8.3970 Å, 107.34 90.00 90.00°
Atoms (fractional coordinates):
Se1 0.0000 0.2680 0.7998
Se2 0.0000 0.7320 0.2002
Se3 0.5000 0.2354 0.2016
Se4 0.5000 0.7646 0.7984
Bi1 0.0000 0.0000 0.0000
Rb1 0.0000 0.5000 0.5000
Rb2 0.5000 0.0000 0.5000
Pm1 0.5000 0.5000 0.0000

## Properties
The value obtained for the total energy is -4.326 eV/atom.


Entry 2:
# Rb3Pm3BiSe8

An optimized crystal structure of Rb3Pm3BiSe8 (PBE-GGA, Alexandria).

Cell: 8.5689 8.5742 9.5802 Å, 116.65 90.00 119.98°
Atoms (fractional coordinates):
Pm1 0.5000 0.5000 0.5000
Pm2 0.5000 0.0000 0.5000
Pm3 0.0000 0.5000 0.5000
Se1 0.7331 0.4662 0.6991
Se2 0.2645 0.0337 0.3030
Se3 0.7355 0.9663 0.6970
Se4 0.7691 0.5382 0.3029
Se5 0.2669 0.5338 0.3009
Se6 0.7691 0.0337 0.3030
Se7 0.2309 0.4618 0.6971
Se8 0.2309 0.9663 0.6970
Rb1 0.5000 0.5000 0.0000
Rb2 0.0000 0.5000 0.0000
Rb3 0.0000 0.0000 0.0000
Bi1 0.0000 0.0000 0.5000

## Properties
The value obtained for the total energy is -4.673 eV/atom.


Entry 3:
# Rb4Pm3BiSe8

An optimized crystal structure of Rb4Pm3BiSe8 (PBE-GGA, Alexandria).

Cell: 8.7056 9.4668 8.7059 Å, 117.39 120.00 90.00°
Atoms (fractional coordinates):
Se1 0.7333 0.6997 0.4666
Se2 0.7657 0.2995 0.5314
Se3 0.2343 0.7005 0.9665
Se4 0.2343 0.7005 0.4686
Se5 0.7657 0.2995 0.0335
Se6 0.2678 0.2995 0.0335
Se7 0.7322 0.7005 0.9665
Se8 0.2667 0.3003 0.5334
Rb1 0.0000 0.0000 0.5000
Rb2 0.0000 0.0000 0.0000
Rb3 0.5000 0.0000 0.0000
Rb4 0.5000 0.0000 0.5000
Pm1 0.5000 0.5000 0.5000
Pm2 0.5000 0.5000 0.0000
Pm3 0.0000 0.5000 0.5000
Bi1 0.0000 0.5000 0.0000

## Properties
The value obtained for the total energy is -4.618 eV/atom.


Entry 4:
# Rb3Pm2BiTe6

An optimized crystal structure of Rb3Pm2BiTe6 (PBE-GGA, Alexandria).

Cell: 8.0245 8.0245 8.9742 Å, 98.57 98.57 120.00°
Atoms (fractional coordinates):
Te1 0.4006 0.0677 0.2030
Te2 0.9323 0.5994 0.7970
Te3 0.0677 0.4006 0.2030
Te4 0.2652 0.2652 0.7970
Te5 0.7348 0.7348 0.2030
Te6 0.5994 0.9323 0.7970
Bi1 0.0000 0.0000 0.0000
Rb1 0.1665 0.8335 0.5000
Rb2 0.5000 0.5000 0.5000
Rb3 0.8335 0.1665 0.5000
Pm1 0.6667 0.3333 0.0000
Pm2 0.3333 0.6667 0.0000

## Properties
The value obtained for the total energy is -4.066 eV/atom.


Entry 5:
# Pm3ReBi

An optimized crystal structure of Pm3ReBi (PBE-GGA, Alexandria).

Cell: 5.4738 5.4738 5.4738 Å, 90.00 90.00 90.00°
Atoms (fractional coordinates):
Bi1 0.5000 0.5000 0.5000
Re1 0.0000 0.0000 0.0000
Pm1 0.0000 0.0000 0.5000
Pm2 0.5000 0.0000 0.0000
Pm3 0.0000 0.5000 0.0000

## Properties
The value obtained for the total energy is -6.064 eV/atom.


Entry 6:
# Pm3Bi4Rh3

An optimized crystal structure of Pm3Bi4Rh3 (PBE-GGA, Alexandria).

Cell: 8.6992 8.6992 8.6992 Å, 109.47 109.47 109.47°
Atoms (fractional coordinates):
Bi1 0.3412 0.5000 0.0000
Bi2 0.6588 0.1588 0.1588
Bi3 0.5000 0.3412 0.5000
Bi4 0.1588 0.6588 0.6588
Bi5 0.0000 0.0000 0.3412
Bi6 0.8412 0.5000 0.0000
Bi7 0.0000 0.0000 0.8412
Bi8 0.5000 0.8412 0.5000
Rh1 0.7500 0.1250 0.8750
Rh2 0.3750 0.2500 0.1250
Rh3 0.6250 0.8750 0.2500
Rh4 0.2500 0.3750 0.6250
Rh5 0.1250 0.7500 0.3750
Rh6 0.8750 0.6250 0.7500
Pm1 0.1250 0.3750 0.2500
Pm2 0.7500 0.6250 0.3750
Pm3 0.6250 0.7500 0.8750
Pm4 0.3750 0.1250 0.7500
Pm5 0.2500 0.8750 0.1250
Pm6 0.8750 0.2500 0.6250

## Properties
The value obtained for the total energy is -5.836 eV/atom.


Entry 7:
# Pm2BiRh

An optimized crystal structure of Pm2BiRh (PBE-GGA, Alexandria).

Cell: 5.2984 5.2984 5.2984 Å, 60.00 60.00 60.00°
Atoms (fractional coordinates):
Rh1 0.5000 0.5000 0.5000
Pm1 0.2500 0.2500 0.2500
Pm2 0.7500 0.7500 0.7500
Bi1 0.0000 0.0000 0.0000

## Properties
The calculation puts the energy above the most stable polymorph in this dataset at 114 meV/atom.


Entry 8:
# Pm8Bi2Rh

An optimized crystal structure of Pm8Bi2Rh (PBE-GGA, Alexandria).

Cell: 4.8084 7.4988 10.0334 Å, 98.33 103.86 90.00°
Atoms (fractional coordinates):
Pm1 0.2145 0.3476 0.4290
Pm2 0.0041 0.7760 0.0082
Pm3 0.4060 0.4896 0.8119
Pm4 0.3590 0.9649 0.7179
Pm5 0.6410 0.0351 0.2821
Pm6 0.9959 0.2240 0.9918
Pm7 0.5940 0.5104 0.1881
Pm8 0.7855 0.6524 0.5710
Bi1 0.8169 0.2235 0.6337
Bi2 0.1831 0.7765 0.3663
Rh1 0.5000 0.0000 0.0000

## Properties
The value obtained for the total energy is -5.260 eV/atom.


Entry 9:
# PmBiRh2

An optimized crystal structure of PmBiRh2 (PBE-GGA, Alexandria).

Cell: 3.7054 4.7039 4.7039 Å, 90.00 90.00 90.00°
Atoms (fractional coordinates):
Rh1 0.0000 0.0000 0.5000
Rh2 0.0000 0.5000 0.0000
Bi1 0.5000 0.0000 0.0000
Pm1 0.5000 0.5000 0.5000

## Properties
The calculation puts the energy above the most stable polymorph in this dataset at 10 meV/atom.


Entry 10:
# Pm3BiRh3

An optimized crystal structure of Pm3BiRh3 (PBE-GGA, Alexandria).

Cell: 4.6375 9.2147 9.2147 Å, 120.00 90.00 90.00°
Atoms (fractional coordinates):
Pm1 0.7500 0.9249 0.3186
Pm2 0.2500 0.3186 0.3936
Pm3 0.7500 0.6814 0.6064
Pm4 0.7500 0.3936 0.0751
Pm5 0.2500 0.6064 0.9249
Pm6 0.2500 0.0751 0.6814
Rh1 0.7500 0.8140 0.9699
Rh2 0.7500 0.0301 0.8441
Rh3 0.7500 0.1559 0.1860
Rh4 0.2500 0.9699 0.1559
Rh5 0.2500 0.1860 0.0301
Rh6 0.2500 0.8441 0.8140
Bi1 0.7500 0.3333 0.6667
Bi2 0.2500 0.6667 0.3333

## Properties
The value obtained for the total energy is -6.348 eV/atom.


Entry 11:
# PmBi2Rh2

An optimized crystal structure of PmBi2Rh2 (PBE-GGA, Alexandria).

Cell: 4.7556 4.7994 10.6846 Å, 94.74 90.00 90.00°
Atoms (fractional coordinates):
Bi1 0.7500 0.2499 0.9938
Bi2 0.2500 0.7501 0.0062
Bi3 0.7500 0.3083 0.3111
Bi4 0.2500 0.6917 0.6889
Rh1 0.7500 0.7761 0.1538
Rh2 0.2500 0.3584 0.4588
Rh3 0.2500 0.2239 0.8462
Rh4 0.7500 0.6416 0.5412
Pm1 0.7500 0.1764 0.6686
Pm2 0.2500 0.8236 0.3314

## Properties
The calculation puts the energy above the most stable polymorph in this dataset at 0 meV/atom.


Entry 12:
# PmBi12Rh4

An optimized crystal structure of PmBi12Rh4 (PBE-GGA, Alexandria).

Cell: 8.5279 8.5279 8.5279 Å, 109.47 109.47 109.47°
Atoms (fractional coordinates):
Bi1 0.6677 0.8266 0.1589
Bi2 0.8411 0.6677 0.5088
Bi3 0.8411 0.3323 0.1734
Bi4 0.8266 0.1589 0.6677
Bi5 0.5088 0.8411 0.6677
Bi6 0.1734 0.8411 0.3323
Bi7 0.1589 0.6677 0.8266
Bi8 0.6677 0.5088 0.8411
Bi9 0.3323 0.4912 0.1589
Bi10 0.1589 0.3323 0.4912
Bi11 0.4912 0.1589 0.3323
Bi12 0.3323 0.1734 0.8411
Rh1 0.5000 0.5000 0.5000
Rh2 0.0000 0.0000 0.5000
Rh3 0.5000 0.0000 0.0000
Rh4 0.0000 0.5000 0.0000
Pm1 0.0000 0.0000 0.0000

## Properties
The value obtained for the total energy is -4.974 eV/atom.


Entry 13:
# Pm5BiRh2

An optimized crystal structure of Pm5BiRh2 (PBE-GGA, Alexandria).

Cell: 8.0352 8.0352 8.9290 Å, 116.74 116.74 90.00°
Atoms (fractional coordinates):
Pm1 0.5220 0.7090 0.7310
Pm2 0.9780 0.4780 0.2690
Pm3 0.7090 0.2090 0.7310
Pm4 0.2910 0.7910 0.2690
Pm5 0.2090 0.0220 0.7310
Pm6 0.5000 0.5000 0.0000
Pm7 0.4780 0.2910 0.2690
Pm8 0.0000 0.0000 0.0000
Pm9 0.0220 0.5220 0.7310
Pm10 0.7910 0.9780 0.2690
Rh1 0.3598 0.8598 0.0000
Rh2 0.1402 0.3598 0.0000
Rh3 0.6402 0.1402 0.0000
Rh4 0.8598 0.6402 0.0000
Bi1 0.2500 0.2500 0.5000
Bi2 0.7500 0.7500 0.5000

## Properties
The value obtained for the total energy is -5.943 eV/atom.


Entry 14:
# Pm2BiRh

An optimized crystal structure of Pm2BiRh (PBE-GGA, Alexandria).

Cell: 6.2244 6.4242 11.7129 Å, 106.67 90.00 90.00°
Atoms (fractional coordinates):
Bi1 0.1772 0.0763 0.4108
Bi2 0.1772 0.4237 0.0892
Bi3 0.8228 0.9237 0.5892
Bi4 0.8228 0.5763 0.9108
Pm1 0.8347 0.0544 0.8804
Pm2 0.3338 0.5562 0.8336
Pm3 0.1653 0.9456 0.1196
Pm4 0.6662 0.4438 0.1664
Pm5 0.8347 0.4456 0.6196
Pm6 0.1653 0.5544 0.3804
Pm7 0.3338 0.9438 0.6664
Pm8 0.6662 0.0562 0.3336
Rh1 0.3363 0.4529 0.5854
Rh2 0.6637 0.5471 0.4146
Rh3 0.3363 0.0471 0.9146
Rh4 0.6637 0.9529 0.0854

## Properties
The calculation puts the energy above the most stable polymorph in this dataset at 56 meV/atom.


Entry 15:
# Pm5Bi4Rh

An optimized crystal structure of Pm5Bi4Rh (PBE-GGA, Alexandria).

Cell: 6.4399 7.7845 7.7845 Å, 80.15 65.57 65.57°
Atoms (fractional coordinates):
Pm1 0.2963 0.8149 0.6226
Pm2 0.4100 0.0000 0.0000
Pm3 0.1113 0.6226 0.1851
Pm4 0.9189 0.3774 0.8149
Pm5 0.7338 0.1851 0.3774
Bi1 0.6071 0.6084 0.2086
Bi2 0.4240 0.3916 0.7914
Bi3 0.8157 0.7914 0.6084
Bi4 0.2155 0.2086 0.3916
Rh1 0.9776 0.0000 0.0000

## Properties
The value obtained for the total energy is -5.435 eV/atom.


Entry 16:
# PmBi3Rh

An optimized crystal structure of PmBi3Rh (PBE-GGA, Alexandria).

Cell: 6.3160 6.5483 12.9983 Å, 90.00 90.00 90.00°
Atoms (fractional coordinates):
Pm1 0.2500 0.9954 0.6972
Pm2 0.7500 0.0046 0.3028
Pm3 0.2500 0.4954 0.3028
Pm4 0.7500 0.5046 0.6972
Bi1 0.7500 0.0035 0.7654
Bi2 0.0000 0.7500 0.5013
Bi3 0.5000 0.7500 0.5013
Bi4 0.7500 0.5035 0.2346
Bi5 0.7500 0.3970 0.9425
Bi6 0.2500 0.4965 0.7654
Bi7 0.7500 0.8970 0.0575
Bi8 0.5000 0.2500 0.4987
Bi9 0.2500 0.6030 0.0575
Bi10 0.2500 0.1030 0.9425
Bi11 0.0000 0.2500 0.4987
Bi12 0.2500 0.9965 0.2346
Rh1 0.5000 0.2500 0.1044
Rh2 0.0000 0.2500 0.1044
Rh3 0.0000 0.7500 0.8956
Rh4 0.5000 0.7500 0.8956

## Properties
The value obtained for the total energy is -5.235 eV/atom.


Entry 17:
# PmBi2Rh2

An optimized crystal structure of PmBi2Rh2 (PBE-GGA, Alexandria).

Cell: 4.6516 4.8781 10.4715 Å, 92.34 90.00 90.00°
Atoms (fractional coordinates):
Rh1 0.7500 0.6853 0.0024
Rh2 0.2500 0.3147 0.9976
Rh3 0.7500 0.2411 0.3715
Rh4 0.2500 0.7589 0.6285
Bi1 0.2500 0.2494 0.5071
Bi2 0.2500 0.8012 0.8792
Bi3 0.7500 0.7506 0.4929
Bi4 0.7500 0.1988 0.1208
Pm1 0.7500 0.2780 0.7666
Pm2 0.2500 0.7220 0.2334

## Properties
The calculation puts the energy above the most stable polymorph in this dataset at 37 meV/atom.


Entry 18:
# Pm3Bi2Rh

An optimized crystal structure of Pm3Bi2Rh (PBE-GGA, Alexandria).

Cell: 4.3391 6.3437 7.7547 Å, 114.14 106.25 90.00°
Atoms (fractional coordinates):
Bi1 0.3238 0.8238 0.6475
Bi2 0.6762 0.1762 0.3525
Pm1 0.0000 0.0000 0.0000
Pm2 0.6434 0.6434 0.2867
Pm3 0.3566 0.3566 0.7133
Rh1 0.0000 0.5000 0.0000

## Properties
The value obtained for the total energy is -5.562 eV/atom.


Entry 19:
# PmBi3Rh3

An optimized crystal structure of PmBi3Rh3 (PBE-GGA, Alexandria).

Cell: 7.3614 7.3614 7.3614 Å, 90.00 90.00 90.00°
Atoms (fractional coordinates):
Bi1 0.2500 0.0000 0.5000
Bi2 0.0000 0.5000 0.2500
Bi3 0.0000 0.5000 0.7500
Bi4 0.7500 0.0000 0.5000
Bi5 0.5000 0.7500 0.0000
Bi6 0.5000 0.2500 0.0000
Rh1 0.5000 0.0000 0.2500
Rh2 0.7500 0.5000 0.0000
Rh3 0.5000 0.0000 0.7500
Rh4 0.2500 0.5000 0.0000
Rh5 0.0000 0.7500 0.5000
Rh6 0.0000 0.2500 0.5000
Pm1 0.0000 0.0000 0.0000
Pm2 0.5000 0.5000 0.5000

## Properties
The value obtained for the total energy is -5.322 eV/atom.


Entry 20:
# PmBiRh2

An optimized crystal structure of PmBiRh2 (PBE-GGA, Alexandria).

Cell: 4.7091 4.7091 5.1430 Å, 62.75 62.75 60.00°
Atoms (fractional coordinates):
Rh1 0.2239 0.2239 0.3284
Rh2 0.7761 0.7761 0.6716
Bi1 0.5000 0.5000 0.5000
Pm1 0.0000 0.0000 0.0000

## Properties
The calculation puts the energy above the most stable polymorph in this dataset at 0 meV/atom.


Entry 21:
# Pm8BiRh2

An optimized crystal structure of Pm8BiRh2 (PBE-GGA, Alexandria).

Cell: 5.6848 8.1749 8.1749 Å, 115.27 97.49 97.49°
Atoms (fractional coordinates):
Pm1 0.5000 0.7513 0.2487
Pm2 0.9320 0.9203 0.6680
Pm3 0.9320 0.6680 0.9203
Pm4 0.0680 0.3320 0.0797
Pm5 0.6979 0.3999 0.3999
Pm6 0.3021 0.6001 0.6001
Pm7 0.5000 0.2487 0.7513
Pm8 0.0680 0.0797 0.3320
Rh1 0.0000 0.2955 0.7045
Rh2 0.0000 0.7045 0.2955
Bi1 0.5000 0.0000 0.0000

## Properties
The value obtained for the total energy is -5.521 eV/atom.